# 1
First-principles (PBE) data for an optimized crystal structure of AcPmRh, as listed in the Alexandria database.

a b c (Å): 3.672 3.672 7.185
angles (deg): 104.81 104.81 90.00
Sites, in units of the cell vectors:
Ac  0.036  0.036  0.071
Rh  0.675  0.675  0.350
Pm  0.289  0.289  0.578

Calculated values
* ΔE_f: -389 meV per atom
* relative energy among the computed polymorphs: 0.1188 eV per atom
* electronic total energy: -5.793 eV/atom
* size of the total moment: 0.000 μB/f.u.

=====

# 2
First-principles (PBE) data for an optimized crystal structure of Ac5Pm2Rh5, as listed in the Alexandria database.

a b c (Å): 4.180 7.297 12.646
angles (deg): 105.55 90.00 106.64
Sites, in units of the cell vectors:
Rh  0.114  0.228  0.422
Rh  0.314  0.628  0.194
Rh  0.886  0.772  0.578
Rh  0.000  0.000  0.000
Rh  0.686  0.372  0.806
Ac  0.500  0.000  0.500
Ac  0.345  0.691  0.951
Ac  0.740  0.480  0.356
Ac  0.655  0.309  0.049
Ac  0.260  0.520  0.644
Pm  0.961  0.922  0.214
Pm  0.039  0.078  0.786

Calculated values
* ΔE_f: -619 meV per atom
* electronic total energy: -6.186 eV/atom
* size of the total moment: 0.000 μB/f.u.

=====

# 3
First-principles (PBE) data for an optimized crystal structure of AcPmRh, as listed in the Alexandria database.

a b c (Å): 5.075 5.075 5.075
angles (deg): 60.00 60.00 60.00
Sites, in units of the cell vectors:
Ac  0.000  0.000  0.000
Rh  0.250  0.250  0.250
Pm  0.500  0.500  0.500

Calculated values
* ΔE_f: -420 meV per atom
* relative energy among the computed polymorphs: 0.0884 eV per atom
* electronic total energy: -5.823 eV/atom
* size of the total moment: 0.000 μB/f.u.

=====

# 4
First-principles (PBE) data for an optimized crystal structure of AcPm2Rh2, as listed in the Alexandria database.

a b c (Å): 4.477 5.800 10.961
angles (deg): 82.31 90.00 90.00
Sites, in units of the cell vectors:
Pm  0.750  0.770  0.469
Pm  0.250  0.230  0.531
Pm  0.250  0.885  0.886
Pm  0.750  0.115  0.114
Ac  0.250  0.559  0.213
Ac  0.750  0.441  0.787
Rh  0.750  0.304  0.367
Rh  0.250  0.696  0.633
Rh  0.250  0.335  0.970
Rh  0.750  0.665  0.030

Calculated values
* ΔE_f: -605 meV per atom
* relative energy among the computed polymorphs: 0.0000 eV per atom
* electronic total energy: -6.268 eV/atom
* size of the total moment: 0.000 μB/f.u.

=====

# 5
First-principles (PBE) data for an optimized crystal structure of Ac2PmRh3, as listed in the Alexandria database.

a b c (Å): 4.232 5.937 7.229
angles (deg): 114.25 107.02 90.00
Sites, in units of the cell vectors:
Rh  0.343  0.343  0.686
Rh  0.000  0.000  0.000
Rh  0.657  0.657  0.314
Ac  0.332  0.832  0.664
Ac  0.668  0.168  0.336
Pm  0.000  0.500  0.000

Calculated values
* ΔE_f: -559 meV per atom
* electronic total energy: -6.396 eV/atom
* size of the total moment: 0.000 μB/f.u.

=====

# 6
First-principles (PBE) data for an optimized crystal structure of Ac3PmRh3, as listed in the Alexandria database.

a b c (Å): 7.280 7.280 7.648
angles (deg): 90.57 90.57 98.82
Sites, in units of the cell vectors:
Rh  0.505  0.982  0.717
Rh  0.068  0.068  0.812
Rh  0.932  0.932  0.188
Rh  0.495  0.018  0.283
Rh  0.018  0.495  0.283
Rh  0.982  0.505  0.717
Ac  0.663  0.663  0.351
Ac  0.337  0.337  0.649
Ac  0.180  0.820  0.500
Ac  0.754  0.246  0.000
Ac  0.820  0.180  0.500
Ac  0.246  0.754  0.000
Pm  0.762  0.762  0.857
Pm  0.238  0.238  0.143

Calculated values
* ΔE_f: -541 meV per atom
* relative energy among the computed polymorphs: 0.0740 eV per atom
* electronic total energy: -6.131 eV/atom
* size of the total moment: 0.000 μB/f.u.

=====

# 7
First-principles (PBE) data for an optimized crystal structure of Ac3Pm2Rh2, as listed in the Alexandria database.

a b c (Å): 4.030 6.958 9.687
angles (deg): 110.84 101.99 106.81
Sites, in units of the cell vectors:
Pm  0.362  0.545  0.179
Pm  0.638  0.455  0.821
Ac  0.196  0.822  0.570
Ac  0.804  0.178  0.430
Ac  0.500  0.000  0.000
Rh  0.998  0.163  0.834
Rh  0.002  0.837  0.166

Calculated values
* ΔE_f: -431 meV per atom
* electronic total energy: -5.649 eV/atom
* size of the total moment: 0.004 μB/f.u.

=====

# 8
First-principles (PBE) data for an optimized crystal structure of Ac3PmRh2, as listed in the Alexandria database.

a b c (Å): 4.335 9.244 11.123
angles (deg): 80.32 78.76 76.44
Sites, in units of the cell vectors:
Rh  0.876  0.381  0.867
Rh  0.375  0.874  0.377
Rh  0.124  0.619  0.133
Rh  0.625  0.126  0.623
Ac  0.184  0.193  0.440
Ac  0.816  0.807  0.560
Ac  0.939  0.930  0.193
Ac  0.314  0.318  0.054
Ac  0.061  0.070  0.807
Ac  0.686  0.682  0.946
Pm  0.558  0.576  0.308
Pm  0.442  0.424  0.692

Calculated values
* ΔE_f: -535 meV per atom
* electronic total energy: -5.831 eV/atom
* size of the total moment: 0.000 μB/f.u.

=====

# 9
First-principles (PBE) data for an optimized crystal structure of Ac2Pm3Rh2, as listed in the Alexandria database.

a b c (Å): 3.984 6.648 9.428
angles (deg): 114.25 90.00 107.44
Sites, in units of the cell vectors:
Ac  0.834  0.668  0.200
Ac  0.166  0.332  0.800
Rh  0.171  0.342  0.244
Rh  0.829  0.658  0.756
Pm  0.381  0.762  0.577
Pm  0.500  0.000  0.000
Pm  0.619  0.238  0.423

Calculated values
* ΔE_f: -478 meV per atom
* electronic total energy: -5.788 eV/atom
* size of the total moment: 0.000 μB/f.u.

=====

# 10
First-principles (PBE) data for an optimized crystal structure of Ac3PmRh, as listed in the Alexandria database.

a b c (Å): 4.132 9.411 9.973
angles (deg): 90.00 90.00 90.00
Sites, in units of the cell vectors:
Ac  0.500  0.049  0.250
Ac  0.000  0.733  0.463
Ac  0.000  0.267  0.963
Ac  0.500  0.951  0.750
Ac  0.000  0.733  0.037
Ac  0.000  0.267  0.537
Rh  0.500  0.743  0.250
Rh  0.500  0.257  0.750
Pm  0.500  0.448  0.250
Pm  0.500  0.552  0.750

Calculated values
* ΔE_f: -257 meV per atom
* relative energy among the computed polymorphs: 0.0000 eV per atom
* electronic total energy: -5.142 eV/atom
* size of the total moment: 0.000 μB/f.u.

=====

# 11
First-principles (PBE) data for an optimized crystal structure of Ac3PmRh3, as listed in the Alexandria database.

a b c (Å): 10.343 10.343 10.343
angles (deg): 109.47 109.47 109.47
Sites, in units of the cell vectors:
Rh  0.005  0.502  0.252
Rh  0.002  0.750  0.998
Rh  0.002  0.252  0.505
Rh  0.498  0.502  0.750
Rh  0.250  0.252  0.248
Rh  0.498  0.995  0.248
Rh  0.752  0.248  0.750
Rh  0.495  0.248  0.998
Rh  0.748  0.750  0.252
Rh  0.748  0.998  0.995
Rh  0.752  0.505  0.502
Rh  0.250  0.998  0.502
Ac  0.256  0.006  0.012
Ac  0.256  0.250  0.744
Ac  0.994  0.744  0.488
Ac  0.506  0.012  0.756
Ac  0.512  0.756  0.006
Ac  0.988  0.494  0.744
Ac  0.244  0.756  0.250
Ac  0.994  0.250  0.006
Ac  0.750  0.744  0.756
Ac  0.244  0.488  0.494
Ac  0.506  0.494  0.250
Ac  0.750  0.006  0.494
Pm  0.500  0.250  0.500
Pm  0.750  0.250  0.250
Pm  0.000  0.000  0.250
Pm  0.750  0.500  0.000

Calculated values
* ΔE_f: -615 meV per atom
* relative energy among the computed polymorphs: 0.0000 eV per atom
* electronic total energy: -6.205 eV/atom
* size of the total moment: 0.000 μB/f.u.

=====

# 12
First-principles (PBE) data for an optimized crystal structure of Ac3PmRh8, as listed in the Alexandria database.

a b c (Å): 5.510 5.510 9.572
angles (deg): 73.27 73.27 60.00
Sites, in units of the cell vectors:
Ac  0.998  0.998  0.005
Ac  0.376  0.376  0.873
Ac  0.502  0.502  0.495
Rh  0.188  0.188  0.437
Rh  0.440  0.938  0.684
Rh  0.688  0.688  0.937
Rh  0.436  0.937  0.191
Rh  0.436  0.436  0.191
Rh  0.937  0.436  0.191
Rh  0.938  0.440  0.684
Rh  0.938  0.938  0.684
Pm  0.874  0.874  0.378

Calculated values
* ΔE_f: -593 meV per atom
* electronic total energy: -6.917 eV/atom
* size of the total moment: 0.000 μB/f.u.